1.
Compound: Cu3Ag2
Source: OQMD via LeMat-Bulk
Functional: PBE
Structure: relaxed

Cell lengths 4.707, 4.734, 7.194 Å; angles 102.52, 108.42, 99.93 degrees
Sites, in units of the cell vectors:
Ag1 0.006 0.499 0.497
Cu1 0.205 0.590 0.202
Cu2 0.597 0.803 0.594
Ag2 0.790 0.386 0.802
Ag3 0.403 0.715 0.902
Cu3 0.197 0.095 0.702
Cu4 0.017 0.017 0.009
Cu5 0.585 0.301 0.101
Cu6 0.397 0.194 0.392
Ag4 0.803 0.899 0.299

Properties
As for the electronic total energy: -3.256 eV/atom. As for the relative energy among the computed polymorphs: 62 meV per atom. As for the formation energy: 0.10 eV/atom. Its space group is No. 1.

2.
Compound: CuAg
Source: OQMD via LeMat-Bulk
Functional: PBE
Structure: relaxed

Cell lengths 2.788, 3.792, 13.979 Å; angles 90.00, 90.00, 90.00 degrees
Sites, in units of the cell vectors:
Cu1 0.500 0.500 0.500
Cu2 0.000 0.000 0.412
Ag1 0.500 0.500 0.113
Ag2 0.500 0.500 0.887
Cu3 0.000 0.000 0.214
Cu4 0.000 0.000 0.786
Ag3 0.000 0.000 0.000
Ag4 0.500 0.500 0.687
Ag5 0.500 0.500 0.313
Cu5 0.000 0.000 0.588

Properties
As for the electronic total energy: -3.178 eV/atom. As for the formation energy: 0.09 eV/atom. Its space group is No. 47.

3.
Compound: Cu7Ag2
Source: OQMD via LeMat-Bulk
Functional: PBE
Structure: relaxed

Cell lengths 4.612, 4.612, 10.817 Å; angles 112.47, 112.47, 34.25 degrees
Sites, in units of the cell vectors:
Cu1 0.660 0.660 0.236
Cu2 0.994 0.994 0.647
Cu3 0.672 0.672 0.557
Cu4 0.340 0.340 0.764
Cu5 0.328 0.328 0.443
Ag1 0.334 0.334 0.125
Cu6 0.006 0.006 0.353
Ag2 0.666 0.666 0.875
Cu7 0.000 0.000 0.000

Properties
As for the electronic total energy: -3.447 eV/atom. As for the relative energy among the computed polymorphs: 25 meV per atom. As for the formation energy: 0.07 eV/atom. Its space group is No. 12.

4.
Compound: CuAg
Source: OQMD via LeMat-Bulk
Functional: PBE
Structure: relaxed

Cell lengths 22.060, 22.060, 22.060 Å; angles 7.30, 7.30, 7.30 degrees
Sites, in units of the cell vectors:
Cu1 0.397 0.397 0.397
Ag1 0.097 0.097 0.097
Ag2 0.601 0.601 0.601
Ag3 0.305 0.305 0.305
Ag4 0.897 0.897 0.897
Cu2 0.197 0.197 0.197
Cu3 0.501 0.501 0.501
Ag5 0.801 0.801 0.801
Cu4 0.701 0.701 0.701
Cu5 0.005 0.005 0.005

Properties
As for the electronic total energy: -3.178 eV/atom. As for the formation energy: 0.09 eV/atom. Its space group is No. 160.

5.
Compound: CuAg
Source: OQMD via LeMat-Bulk
Functional: PBE
Structure: relaxed

Cell lengths 4.688, 5.694, 18.148 Å; angles 85.17, 83.06, 89.82 degrees
Sites, in units of the cell vectors:
Cu1 0.250 0.642 0.500
Ag1 0.506 0.259 0.999
Cu2 0.721 0.548 0.875
Ag2 0.015 0.975 0.001
Ag3 0.283 0.493 0.123
Cu3 0.030 0.825 0.625
Ag4 0.373 0.171 0.250
Ag5 0.626 0.333 0.750
Ag6 0.250 0.104 0.500
Cu4 0.470 0.887 0.375
Cu5 0.626 0.795 0.750
Ag7 0.874 0.460 0.251
Cu6 0.283 0.956 0.127
Ag8 0.126 0.041 0.750
Cu7 0.874 0.922 0.250
Ag9 0.200 0.297 0.874
Cu8 0.223 0.761 0.875
Ag10 0.794 0.210 0.126
Cu9 0.530 0.613 0.625
Cu10 0.994 0.513 0.998
Ag11 0.446 0.424 0.375
Cu11 0.769 0.731 0.126
Ag12 0.054 0.362 0.625
Cu12 0.969 0.675 0.375
Ag13 0.750 0.396 0.500
Ag14 0.946 0.138 0.375
Cu13 0.750 0.858 0.500
Cu14 0.374 0.706 0.250
Cu15 0.126 0.579 0.750
Ag15 0.554 0.076 0.625
Cu16 0.509 0.738 0.999
Ag16 0.703 0.012 0.874

Properties
As for the electronic total energy: -3.176 eV/atom. As for the formation energy: 0.09 eV/atom. Its space group is No. 1.

6.
Compound: CuAg2
Source: OQMD via LeMat-Bulk
Functional: PBE
Structure: relaxed

Cell lengths 4.902, 4.906, 6.296 Å; angles 75.33, 83.17, 80.75 degrees
Sites, in units of the cell vectors:
Cu1 0.673 0.329 0.675
Cu2 0.560 0.782 0.885
Cu3 0.992 0.996 0.994
Ag1 0.454 0.213 0.092
Ag2 0.772 0.889 0.454
Ag3 0.107 0.560 0.785
Ag4 0.225 0.116 0.571
Ag5 0.332 0.669 0.323
Ag6 0.885 0.443 0.222

Properties
As for the electronic total energy: -3.038 eV/atom. As for the relative energy among the computed polymorphs: 52 meV per atom. As for the formation energy: 0.08 eV/atom. Its space group is No. 1.

> The lowest electronic total energy belongs to which entry?

Cu7Ag2

> Which of these has the highest electronic total energy?

CuAg2

> What is the electronic total energy in the fifth record?

-3.176 eV/atom